CdNi2IO6 after structural relaxation. Source: Alexandria via LeMat-Bulk, functional PBE+U.

a = 5.3773 Å, b = 5.4891 Å, c = 9.8587 Å
α = 90.00°, β = 122.87°, γ = 90.00°
Last column: nearest neighbours and their distance in Å.
Fractional coordinates of all 20 atoms:
Cd (0.0000, 0.0000, 0.0000)  2 O 2.07
Cd (0.0000, 0.5000, 0.5000)  2 O 2.07
Ni (0.2029, 0.0183, 0.7026)  6 O 2.06-2.27
Ni (0.2029, 0.4817, 0.2026)  6 O 2.06-2.27
Ni (0.7971, 0.5183, 0.7974)  6 O 2.06-2.27
Ni (0.7971, 0.9817, 0.2974)  6 O 2.06-2.27
I (0.5000, 0.0000, 0.5000)  6 O 1.98-2.05
I (0.5000, 0.5000, 0.0000)  6 O 1.98-2.05
O (0.1570, 0.1637, 0.4837)  1 I 1.98, 2 Ni 2.06-2.19, 1 Cd 2.07
O (0.1570, 0.3363, 0.9837)  1 I 1.98, 2 Ni 2.06-2.19, 1 Cd 2.07
O (0.1894, 0.7426, 0.3575)  1 I 2.05, 2 Ni 2.12-2.27
O (0.1894, 0.7574, 0.8575)  1 I 2.05, 2 Ni 2.12-2.27
O (0.4634, 0.1738, 0.3091)  1 I 2.02, 2 Ni 2.08-2.14
O (0.4634, 0.3262, 0.8091)  1 I 2.02, 2 Ni 2.08-2.14
O (0.5366, 0.6738, 0.1909)  1 I 2.02, 2 Ni 2.08-2.14
O (0.5366, 0.8262, 0.6909)  1 I 2.02, 2 Ni 2.08-2.14
O (0.8106, 0.2426, 0.1425)  1 I 2.05, 2 Ni 2.12-2.27
O (0.8106, 0.2574, 0.6425)  1 I 2.05, 2 Ni 2.12-2.27
O (0.8430, 0.6637, 0.0163)  1 I 1.98, 2 Ni 2.06-2.19, 1 Cd 2.07
O (0.8430, 0.8363, 0.5163)  1 I 1.98, 2 Ni 2.06-2.19, 1 Cd 2.07

Results
electronic total energy	-87.869	eV for the cell shown
space-group type	P2_1/c (14)
total magnetization	0.3445	μB per atom